Material: BaYHg2
Method: DFT, PBE
State: optimized geometry

abc: 4.183 4.181 7.786
angles: 90.00 90.00 90.00
Fractional coordinates of all 4 atoms:
1 Ba 0.500 0.500 0.795
2 Hg 0.000 0.000 0.021
3 Hg 0.500 0.500 0.276
4 Y 0.000 0.000 0.408

The value obtained for the total DFT energy (no corrections) is -2.52 eV per atom. The total magnetization is 0.0 Bohr magnetons per cell. The formation energy is -0.2768 eV per atom. The calculated density comes out at 7.7 g cm⁻³.

Material: Ba2YHg
Method: DFT, PBE
State: optimized geometry

abc: 7.465 7.465 7.465
angles: 147.30 135.41 56.38
Fractional coordinates of all 4 atoms:
1 Ba 0.953 0.953 0.000
2 Ba 0.547 0.547 0.000
3 Hg 0.750 0.250 0.500
4 Y 0.250 0.750 0.500

The value obtained for the total DFT energy (no corrections) is -2.65 eV per atom. The total magnetization is 0.0 Bohr magnetons per cell. The formation energy is 0.0038 eV per atom. The calculated density comes out at 6.0 g cm⁻³.

Material: BaY2Hg
Method: DFT, PBE
State: optimized geometry

abc: 6.097 6.097 11.155
angles: 74.14 74.14 90.00
Fractional coordinates of all 8 atoms:
1 Y 0.874 0.125 0.250
2 Y 0.876 0.625 0.250
3 Y 0.375 0.126 0.750
4 Y 0.875 0.124 0.750
5 Hg 0.000 0.000 0.000
6 Hg 0.750 0.250 0.500
7 Ba 0.500 0.500 0.000
8 Ba 0.250 0.750 0.500

The value obtained for the total DFT energy (no corrections) is -3.35 eV per atom. The total magnetization is 0.0 Bohr magnetons per cell. The formation energy is 0.4414 eV per atom. The calculated density comes out at 4.5 g cm⁻³.

Material: BaY4Hg5
Method: DFT, PBE
State: optimized geometry

abc: 3.794 3.794 19.237
angles: 90.00 90.00 90.00
Fractional coordinates of all 10 atoms:
1 Ba 0.000 0.000 0.000
2 Y 0.000 0.000 0.215
3 Y 0.000 0.000 0.405
4 Y 0.000 0.000 0.595
5 Y 0.000 0.000 0.785
6 Hg 0.500 0.500 0.127
7 Hg 0.500 0.500 0.310
8 Hg 0.500 0.500 0.500
9 Hg 0.500 0.500 0.690
10 Hg 0.500 0.500 0.873

The value obtained for the total DFT energy (no corrections) is -3.43 eV per atom. The total magnetization is 0.0 Bohr magnetons per cell. The formation energy is -0.4978 eV per atom. The calculated density comes out at 9.0 g cm⁻³.

Material: Ba2YHg
Method: DFT, PBE
State: optimized geometry

abc: 5.934 5.934 5.934
angles: 60.00 60.00 60.00
Fractional coordinates of all 4 atoms:
1 Ba 0.000 0.000 0.000
2 Ba 0.250 0.250 0.250
3 Hg 0.500 0.500 0.500
4 Y 0.750 0.750 0.750

The value obtained for the total DFT energy (no corrections) is -2.55 eV per atom. The total magnetization is 1.3 Bohr magnetons per cell. The formation energy is 0.1041 eV per atom. The calculated density comes out at 6.3 g cm⁻³.

Material: Ba4YHg5
Method: DFT, PBE
State: optimized geometry

abc: 4.058 4.058 20.875
angles: 90.00 90.00 90.00
Fractional coordinates of all 10 atoms:
1 Ba 0.000 0.000 0.186
2 Ba 0.000 0.000 0.396
3 Ba 0.000 0.000 0.604
4 Ba 0.000 0.000 0.814
5 Y 0.000 0.000 0.000
6 Hg 0.500 0.500 0.077
7 Hg 0.500 0.500 0.292
8 Hg 0.500 0.500 0.500
9 Hg 0.500 0.500 0.708
10 Hg 0.500 0.500 0.923

The value obtained for the total DFT energy (no corrections) is -2.06 eV per atom. The total magnetization is 0.0 Bohr magnetons per cell. The formation energy is -0.4934 eV per atom. The calculated density comes out at 7.9 g cm⁻³.

Material: BaYHg2
Method: DFT, PBE
State: optimized geometry

abc: 10.251 10.251 10.251
angles: 22.65 22.65 22.65
Fractional coordinates of all 4 atoms:
1 Ba 0.739 0.739 0.739
2 Hg 0.987 0.987 0.987
3 Hg 0.255 0.255 0.255
4 Y 0.519 0.519 0.519

The value obtained for the total DFT energy (no corrections) is -2.35 eV per atom. The total magnetization is 0.0 Bohr magnetons per cell. The formation energy is -0.1004 eV per atom. The calculated density comes out at 7.4 g cm⁻³.

Material: BaY2Hg
Method: DFT, PBE
State: optimized geometry

abc: 6.241 6.241 6.241
angles: 132.79 132.79 68.98
Fractional coordinates of all 4 atoms:
1 Ba 0.500 0.500 0.000
2 Hg 0.750 0.250 0.500
3 Y 0.000 0.000 0.000
4 Y 0.250 0.750 0.500

The value obtained for the total DFT energy (no corrections) is -3.73 eV per atom. The total magnetization is 0.0 Bohr magnetons per cell. The formation energy is 0.0578 eV per atom. The calculated density comes out at 6.7 g cm⁻³.

Material: BaYHg2
Method: DFT, PBE
State: optimized geometry

abc: 3.884 5.632 5.632
angles: 90.00 90.00 90.00
Fractional coordinates of all 4 atoms:
1 Ba 0.500 0.000 0.500
2 Hg 0.000 0.000 0.000
3 Hg 0.000 0.500 0.500
4 Y 0.500 0.500 0.000

The value obtained for the total DFT energy (no corrections) is -2.65 eV per atom. The total magnetization is 0.0 Bohr magnetons per cell. The formation energy is -0.3998 eV per atom. The calculated density comes out at 8.5 g cm⁻³.

Material: BaY2Hg
Method: DFT, PBE
State: optimized geometry

abc: 11.374 11.374 11.374
angles: 19.35 19.35 19.35
Fractional coordinates of all 4 atoms:
1 Ba 0.491 0.491 0.491
2 Hg 0.743 0.743 0.743
3 Y 0.008 0.008 0.008
4 Y 0.258 0.258 0.258

The value obtained for the total DFT energy (no corrections) is -3.84 eV per atom. The total magnetization is 0.5 Bohr magnetons per cell. The formation energy is -0.0480 eV per atom. The calculated density comes out at 6.1 g cm⁻³.

Material: BaYHg2
Method: DFT, PBE
State: optimized geometry

abc: 5.498 5.498 5.498
angles: 60.00 60.00 60.00
Fractional coordinates of all 4 atoms:
1 Ba 0.500 0.500 0.500
2 Hg 0.000 0.000 0.000
3 Hg 0.250 0.250 0.250
4 Y 0.750 0.750 0.750

The value obtained for the total DFT energy (no corrections) is -2.29 eV per atom. The total magnetization is 0.0 Bohr magnetons per cell. The formation energy is -0.0383 eV per atom. The calculated density comes out at 8.9 g cm⁻³.

Material: BaY2Hg
Method: DFT, PBE
State: optimized geometry

abc: 3.851 3.854 10.184
angles: 67.79 90.00 90.00
Fractional coordinates of all 4 atoms:
1 Ba 0.000 0.462 0.537
2 Hg 0.500 0.703 0.797
3 Y 0.000 0.036 0.964
4 Y 0.500 0.298 0.202

The value obtained for the total DFT energy (no corrections) is -3.95 eV per atom. The total magnetization is 1.1 Bohr magnetons per cell. The formation energy is -0.1664 eV per atom. The calculated density comes out at 6.1 g cm⁻³.

Material: BaYHg
Method: DFT, PBE
State: optimized geometry

abc: 5.434 5.434 5.434
angles: 60.00 60.00 60.00
Fractional coordinates of all 3 atoms:
1 Ba 0.750 0.750 0.750
2 Hg 0.000 0.000 0.000
3 Y 0.500 0.500 0.500

The calculation puts the energy above the most stable polymorph in this dataset at 73.3 kJ per mole of atoms. The value obtained for the total DFT energy (no corrections) is -2.40 eV per atom. The total magnetization is 0.0 Bohr magnetons per cell. The formation energy is 0.4985 eV per atom. The calculated density comes out at 6.2 g cm⁻³.

Material: Ba2YHg
Method: DFT, PBE
State: optimized geometry

abc: 9.840 9.840 7.787
angles: 50.82 50.82 90.00
Fractional coordinates of all 8 atoms:
1 Y 0.500 0.500 0.000
2 Y 0.250 0.750 0.500
3 Hg 0.000 0.000 0.000
4 Hg 0.750 0.250 0.500
5 Ba 0.673 0.125 0.250
6 Ba 0.077 0.625 0.250
7 Ba 0.375 0.327 0.750
8 Ba 0.875 0.923 0.750

The value obtained for the total DFT energy (no corrections) is -2.53 eV per atom. The total magnetization is 0.0 Bohr magnetons per cell. The formation energy is 0.1224 eV per atom. The calculated density comes out at 5.5 g cm⁻³.

Material: Ba2YHg2
Method: DFT, PBE
State: optimized geometry

abc: 9.688 9.688 3.866
angles: 90.00 90.00 90.00
Fractional coordinates of all 10 atoms:
1 Y 0.000 0.000 0.000
2 Y 0.500 0.500 0.000
3 Hg 0.156 0.656 0.500
4 Hg 0.656 0.844 0.500
5 Hg 0.844 0.344 0.500
6 Hg 0.344 0.156 0.500
7 Ba 0.358 0.858 0.000
8 Ba 0.858 0.642 0.000
9 Ba 0.642 0.142 0.000
10 Ba 0.142 0.358 0.000

The calculation puts the energy above the most stable polymorph in this dataset at 12.9 kJ per mole of atoms. The value obtained for the total DFT energy (no corrections) is -2.30 eV per atom. The total magnetization is 0.0 Bohr magnetons per cell. The formation energy is -0.1158 eV per atom. The calculated density comes out at 7.0 g cm⁻³.

Material: Ba2YHg
Method: DFT, PBE
State: optimized geometry

abc: 6.680 6.680 6.680
angles: 133.61 133.61 67.70
Fractional coordinates of all 4 atoms:
1 Ba 0.000 0.000 0.000
2 Ba 0.250 0.750 0.500
3 Hg 0.500 0.500 0.000
4 Y 0.750 0.250 0.500

The value obtained for the total DFT energy (no corrections) is -2.56 eV per atom. The total magnetization is 0.0 Bohr magnetons per cell. The formation energy is 0.0946 eV per atom. The calculated density comes out at 6.1 g cm⁻³.

Material: BaY2Hg
Method: DFT, PBE
State: optimized geometry

abc: 3.923 5.838 8.168
angles: 45.02 90.00 90.00
Fractional coordinates of all 4 atoms:
1 Ba 0.500 0.500 0.500
2 Hg 0.000 0.000 0.500
3 Y 0.000 0.000 0.000
4 Y 0.500 0.500 0.000

The value obtained for the total DFT energy (no corrections) is -3.77 eV per atom. The total magnetization is 0.0 Bohr magnetons per cell. The formation energy is 0.0195 eV per atom. The calculated density comes out at 6.5 g cm⁻³.

Material: Ba2YHg
Method: DFT, PBE
State: optimized geometry

abc: 5.303 4.358 7.543
angles: 73.25 90.00 90.00
Fractional coordinates of all 4 atoms:
1 Ba 0.000 0.962 0.954
2 Ba 0.500 0.280 0.312
3 Hg 0.000 0.684 0.505
4 Y 0.500 0.574 0.729

The value obtained for the total DFT energy (no corrections) is -2.72 eV per atom. The total magnetization is 0.0 Bohr magnetons per cell. The formation energy is -0.0648 eV per atom. The calculated density comes out at 5.6 g cm⁻³.

Material: BaYHg
Method: DFT, PBE
State: optimized geometry

abc: 5.334 5.334 4.445
angles: 90.00 90.00 120.00
Fractional coordinates of all 3 atoms:
1 Ba 0.000 0.000 0.000
2 Hg 0.667 0.333 0.500
3 Y 0.333 0.667 0.500

The calculation puts the energy above the most stable polymorph in this dataset at 12.4 kJ per mole of atoms. The value obtained for the total DFT energy (no corrections) is -3.03 eV per atom. The total magnetization is 0.0 Bohr magnetons per cell. The formation energy is -0.1329 eV per atom. The calculated density comes out at 6.5 g cm⁻³.

Material: BaY2Hg
Method: DFT, PBE
State: optimized geometry

abc: 3.792 3.792 9.762
angles: 90.00 90.00 90.02
Fractional coordinates of all 4 atoms:
1 Ba 0.500 0.500 0.250
2 Hg 0.500 0.500 0.750
3 Y 0.000 0.000 0.931
4 Y 0.000 0.000 0.569

The value obtained for the total DFT energy (no corrections) is -3.89 eV per atom. The total magnetization is 0.0 Bohr magnetons per cell. The formation energy is -0.1022 eV per atom. The calculated density comes out at 6.1 g cm⁻³.

| no. | D(E_F) (states/eV per atom) |
| --- | --- |
| 1 | 0.853 |
| 2 | 1.439 |
| 3 | 1.338 |
| 4 | 0.703 |
| 5 | 1.369 |
| 6 | 0.585 |
| 7 | 1.157 |
| 8 | 1.262 |
| 9 | 0.534 |
| 10 | 1.372 |
| 11 | 0.849 |
| 12 | 1.187 |
| 13 | 1.202 |
| 14 | 1.783 |
| 15 | 0.761 |
| 16 | 1.785 |
| 17 | 1.325 |
| 18 | 1.439 |
| 19 | 1.061 |
| 20 | 1.539 |